#one
A geometry-optimized ZrZnC3 structure, computed with PBE.

Lattice parameters (Å, degrees): 4.355 4.355 4.355 90.00 90.00 90.00
Space group Pm-3m (No. 221)
Unique sites:
Zr (0.000, 0.000, 0.000)
Zn (0.500, 0.500, 0.500)
C (0.000, 0.000, 0.500)

Computed properties:
As for the density of states at the Fermi level: 2.11 states/eV/f.u.


#two
A geometry-optimized ZrZnC3 structure, computed with PBE.

Lattice parameters (Å, degrees): 3.888 3.888 3.888 90.00 90.00 90.00
Space group Pm-3m (No. 221)
Unique sites:
Zr (0.000, 0.000, 0.000)
Zn (0.500, 0.500, 0.500)
C (0.000, 0.500, 0.500)

Computed properties:
As for the density of states at the Fermi level: 2.96 states/eV/f.u.


Stability verdict: #two, ahead by 319 meV/atom


#one
A geometry-optimized Zr3ZnC structure, computed with PBE.

Lattice parameters (Å, degrees): 8.945 12.306 3.360 90.00 90.00 90.00
Space group Cmmm (No. 65)
Unique sites:
Zr (0.000, 0.197, 0.000)
Zr (0.195, 0.369, 0.500)
Zn (0.000, 0.000, 0.500)
Zn (0.000, 0.500, 0.000)
C (0.250, 0.250, 0.000)

Computed properties:
As for the density of states at the Fermi level: 3.72 states/eV/f.u.


#two
A geometry-optimized Zr3ZnC structure, computed with PBE.

Lattice parameters (Å, degrees): 3.392 11.634 9.095 90.00 90.00 90.00
Space group Cmcm (No. 63)
Unique sites:
Zr (0.000, 0.049, 0.250)
Zr (0.000, 0.372, 0.048)
Zn (0.000, 0.253, 0.750)
C (0.000, 0.000, 0.000)

Computed properties:
As for the density of states at the Fermi level: 3.10 states/eV/f.u.


#three
A geometry-optimized Zr3ZnC structure, computed with PBE.

Lattice parameters (Å, degrees): 4.530 4.530 4.530 90.00 90.00 90.00
Space group Pm-3m (No. 221)
Unique sites:
Zr (0.000, 0.000, 0.500)
Zn (0.500, 0.500, 0.500)
C (0.000, 0.000, 0.000)

Computed properties:
As for the density of states at the Fermi level: 2.80 states/eV/f.u.


Stability verdict: #two, ahead by 72 meV/atom


#one
A geometry-optimized Zr5C3 structure, computed with PBE.

Lattice parameters (Å, degrees): 5.593 16.897 5.550 90.00 91.08 90.00
Space group C2/m (No. 12)
Unique sites:
Zr (0.180, 0.203, 0.247)
Zr (0.221, 0.000, 0.179)
Zr (0.230, 0.405, 0.319)
C (0.000, 0.000, 0.500)
C (0.000, 0.103, 0.000)
C (0.000, 0.301, 0.500)
C (0.000, 0.500, 0.500)

Computed properties:
As for the density of states at the Fermi level: 5.40 states/eV/f.u.


#two
A geometry-optimized Zr5C3 structure, computed with PBE.

Lattice parameters (Å, degrees): 2.975 2.975 14.030 90.00 90.00 90.00
Space group P4/mmm (No. 123)
Unique sites:
Zr (0.000, 0.000, 0.000)
Zr (0.000, 0.000, 0.197)
Zr (0.500, 0.500, 0.403)
C (0.000, 0.000, 0.500)
C (0.500, 0.500, 0.112)

Computed properties:
As for the density of states at the Fermi level: 8.79 states/eV/f.u.


Stability verdict: #one, ahead by 703 meV/atom


#one
A geometry-optimized Zr5C3 structure, computed with PBE.

Lattice parameters (Å, degrees): 7.1824 7.1824 5.2903 90.00 90.00 120.00
Space group P6_3/mcm (No. 193)
Unique sites:
Zr (0.0000, 0.2616, 0.2500)
Zr (0.3333, 0.6667, 0.0000)
C (0.0000, 0.3756, 0.7500)

Computed properties:
As for the density of states at the Fermi level: 3.65 states/eV/f.u.


#two
A geometry-optimized Zr5C3 structure, computed with PBE.

Lattice parameters (Å, degrees): 7.139 10.393 3.414 90.00 90.00 90.00
Space group Cmmm (No. 65)
Unique sites:
Zr (0.000, 0.000, 0.000)
Zr (0.208, 0.500, 0.500)
Zr (0.250, 0.250, 0.000)
C (0.000, 0.162, 0.500)
C (0.000, 0.500, 0.000)

Computed properties:
As for the density of states at the Fermi level: 3.69 states/eV/f.u.


Stability verdict: #one, ahead by 301 meV/atom


#one
A geometry-optimized Zr4C structure, computed with PBE.

Lattice parameters (Å, degrees): 5.820 5.820 5.820 90.00 90.00 90.00
Space group Im-3m (No. 229)
Unique sites:
Zr (0.250, 0.250, 0.250)
C (0.000, 0.000, 0.000)

Computed properties:
As for the density of states at the Fermi level: 7.46 states/eV/f.u.


#two
A geometry-optimized Zr4C structure, computed with PBE.

Lattice parameters (Å, degrees): 4.636 4.636 4.636 90.00 90.00 90.00
Space group Pm-3m (No. 221)
Unique sites:
Zr (0.000, 0.000, 0.000)
Zr (0.000, 0.500, 0.500)
C (0.500, 0.500, 0.500)

Computed properties:
As for the density of states at the Fermi level: 5.72 states/eV/f.u.


#three
A geometry-optimized Zr4C structure, computed with PBE.

Lattice parameters (Å, degrees): 3.2782 3.2782 10.9822 90.00 90.00 120.00
Space group P-3m1 (No. 164)
Unique sites:
Zr (0.3333, 0.6667, 0.1161)
Zr (0.3333, 0.6667, 0.3901)
C (0.0000, 0.0000, 0.0000)

Computed properties:
As for the density of states at the Fermi level: 1.94 states/eV/f.u.


Stability verdict: #three, ahead by 21 meV/atom


#one
A geometry-optimized Zr4C3 structure, computed with PBE.

Lattice parameters (Å, degrees): 12.293 3.358 5.738 90.00 117.42 90.00
Space group C2/m (No. 12)
Unique sites:
Zr (0.128, 0.000, 0.469)
Zr (0.131, 0.500, 0.960)
C (0.000, 0.500, 0.500)
C (0.241, 0.000, 0.235)

Computed properties:
As for the density of states at the Fermi level: 1.73 states/eV/f.u.


#two
A geometry-optimized Zr4C3 structure, computed with PBE.

Lattice parameters (Å, degrees): 5.0310 5.0310 4.6935 90.00 90.00 120.00
Space group P6/mmm (No. 191)
Unique sites:
Zr (0.0000, 0.0000, 0.2470)
Zr (0.3333, 0.6667, 0.5000)
C (0.0000, 0.5000, 0.0000)

Computed properties:
As for the density of states at the Fermi level: 4.21 states/eV/f.u.


Stability verdict: #one, ahead by 1770 meV/atom